Compound: AgSbAu2
Source: Alexandria via LeMat-Bulk
Functional: PBE
Structure: optimized geometry

The structure in POSCAR format:
```
AgSbAu2
1.0
4.7493 0.0000 0.0000
0.0000 3.0050 0.0272
0.0000 -0.6758 5.8752
Ag Au Sb
1 2 1
Cartesian
2.3746 1.5254 4.7484
2.3746 0.6789 1.4336
0.0000 0.0798 5.6757
0.0000 0.5338 2.8711
```

For the calculated volume, the calculation gives 21.0 Å³/atom. The calculation puts the formation energy (no corrections) at 0.025 eV/atom.